# DyErMnNi, relaxed, DFT PBE
data_DyErMnNi
_symmetry_space_group_name_H-M 'F -4 3 m'
_symmetry_Int_Tables_number 216
_symmetry_space_group_name_Hall 'F -4 2 3'
_cell_length_a 6.8732
_cell_length_b 6.8732
_cell_length_c 6.8732
_cell_angle_alpha 90.00
_cell_angle_beta 90.00
_cell_angle_gamma 90.00
loop_
_atom_site_label
_atom_site_type_symbol
_atom_site_fract_x
_atom_site_fract_y
_atom_site_fract_z
Dy1 Dy 0.0000 0.0000 0.0000
Er1 Er 0.0000 0.0000 0.5000
Mn1 Mn 0.2500 0.2500 0.2500
Ni1 Ni 0.2500 0.2500 0.7500
# **Volume**: 20.3 Å³ per atom
# **Total DFT energy (no corrections)**: -6.06 eV/atom
# **DFT formation energy**: -33 meV/atom
# **M_tot**: 3.36 μB per formula unit